The following is a PBE+U calculation of a relaxed structure of Ca3Co2O7, from Alexandria. Values from VASP.

```
&SYSTEM
  ibrav = 0, nat = 24, ntyp = 3
/
ATOMIC_SPECIES
Ca 40.08 Ca.upf
Co 58.93 Co.upf
O 16.00 O.upf
CELL_PARAMETERS angstrom
9.4881 -2.7086 0.0000
9.4881 2.7086 0.0000
0.0000 0.0000 5.4456
ATOMIC_POSITIONS crystal
Ca 0.0569 0.5770 0.5792
Ca 0.2437 0.7563 0.5000
Ca 0.4230 0.9431 0.5792
Ca 0.5770 0.0569 0.0792
Ca 0.7563 0.2437 0.0000
Ca 0.9431 0.4230 0.0792
Co 0.1513 0.6507 0.0439
Co 0.3493 0.8487 0.0439
Co 0.6507 0.1513 0.5439
Co 0.8487 0.3493 0.5439
O 0.0017 0.3914 0.5278
O 0.0486 0.1183 0.2551
O 0.1183 0.0486 0.7551
O 0.3143 0.6857 0.0528
O 0.3536 0.4259 0.3290
O 0.3914 0.0017 0.0278
O 0.4259 0.3536 0.8290
O 0.5741 0.6464 0.3290
O 0.6086 0.9983 0.5278
O 0.6464 0.5741 0.8290
O 0.6857 0.3143 0.5528
O 0.8817 0.9514 0.2551
O 0.9514 0.8817 0.7551
O 0.9983 0.6086 0.0278
```

Properties
E: -6.104 eV per atom
Crystal system: orthorhombic
Symmetry: No. 36